# 1
The following is a SCAN calculation of NbCo3F at its PBEsol-relaxed geometry, from the Alexandria database.

Unit cell a=4.4535 b=4.4535 c=4.4535 alpha=90.00 beta=90.00 gamma=90.00
Space group Pm-3m (No. 221)
Symmetry-distinct sites (fractional):
Nb1 0.0000 0.0000 0.0000 x1
Co1 0.0000 0.0000 0.5000 x3
F1 0.5000 0.5000 0.5000 x1

## Properties
- Energy above the most stable polymorph in this dataset: 5.93 eV/f.u.
- E_form (uncorrected): 1.445 eV per atom
- Theoretical density: 5.43 Mg/m³
- Raw total energy: -16.2719 eV per atom
- Total magnetization: 3.115 μB per cell
- Calculated volume: 88 Å³/cell


# 2
The following is a SCAN calculation of AgIrAu2 at its PBEsol-relaxed geometry, from the Alexandria database.

Unit cell a=6.3621 b=6.3621 c=6.3621 alpha=90.00 beta=90.00 gamma=90.00
Space group Fm-3m (No. 225)
Symmetry-distinct sites (fractional):
Ag1 0.0000 0.0000 0.0000 x4
Ir1 0.0000 0.0000 0.5000 x4
Au1 0.2500 0.2500 0.2500 x8

## Properties
- ΔE_f: 0.3880 eV per atom
- Energy above the most stable polymorph in this dataset: 0.40 eV/f.u.
- Theoretical density: 17.90 Mg/m³
- Raw total energy: -59.8071 eV per atom
- Total magnetization: 0.000 μB per cell
- Calculated volume: 258 Å³/cell


# 3
The following is a SCAN calculation of CoPPd3 at its PBEsol-relaxed geometry, from the Alexandria database.

Unit cell a=4.4394 b=4.4394 c=4.4394 alpha=90.00 beta=90.00 gamma=90.00
Space group Pm-3m (No. 221)
Symmetry-distinct sites (fractional):
Co1 0.0000 0.0000 0.0000 x1
P1 0.5000 0.5000 0.5000 x1
Pd1 0.0000 0.0000 0.5000 x3

## Properties
- ΔE_f: 1.0128 eV per atom
- Theoretical density: 7.77 Mg/m³
- Raw total energy: -24.1923 eV per atom
- Total magnetization: 3.593 μB per cell
- Calculated volume: 87 Å³/cell


# 4
The following is a SCAN calculation of SeS7 at its PBEsol-relaxed geometry, from the Alexandria database.

Unit cell a=4.6356 b=9.1565 c=14.9796 alpha=89.71 beta=89.09 gamma=89.86
Space group P1 (No. 1)
Symmetry-distinct sites (fractional):
Se1 0.0000 0.0000 0.0000 x1
Se2 0.0090 0.6569 0.0021 x1
Se3 0.5371 0.1634 0.2696 x1
S1 0.0066 0.3274 0.1147 x1
S2 0.0106 0.0129 0.7676 x1
S3 0.0226 0.3318 0.6585 x1
S4 0.0227 0.6470 0.7689 x1
S5 0.2507 0.2001 0.0306 x1
S6 0.2532 0.1963 0.7410 x1
S7 0.2591 0.5996 0.8796 x1
S8 0.2735 0.1154 0.3910 x1
S9 0.2732 0.6998 0.5293 x1
S10 0.2897 0.6953 0.2429 x1
S11 0.5104 0.8328 0.6105 x1
S12 0.5158 0.5176 0.4997 x1
S13 0.5166 0.1528 0.5015 x1
S14 0.5344 0.5158 0.2759 x1
S15 0.5361 0.8278 0.1605 x1
S16 0.7507 0.9667 0.5276 x1
S17 0.7547 0.4578 0.0362 x1
S18 0.7581 0.0548 0.8777 x1
S19 0.7627 0.5657 0.3883 x1
S20 0.7763 0.9577 0.2422 x1
S21 0.7794 0.4664 0.7396 x1

## Properties
- E_form (uncorrected): 0.015 eV per atom
- Theoretical density: 2.38 Mg/m³
- Raw total energy: -10.9198 eV per atom
- Total magnetization: 0.000 μB per cell
- Calculated volume: 636 Å³/cell


# 5
The following is a SCAN calculation of ErCoSn at its PBEsol-relaxed geometry, from the Alexandria database.

Unit cell a=7.0928 b=4.4950 c=7.1515 alpha=90.00 beta=90.00 gamma=90.00
Space group Pnma (No. 62)
Symmetry-distinct sites (fractional):
Er1 0.0229 0.2500 0.1998 x4
Co1 0.1558 0.7500 0.4421 x4
Sn1 0.2032 0.2500 0.6092 x4

## Properties
- ΔE_f: -0.5188 eV per atom
- Theoretical density: 10.05 Mg/m³
- Raw total energy: -35.0406 eV per atom
- Total magnetization: 5.044 μB per cell
- Calculated volume: 228 Å³/cell


# 6
The following is a SCAN calculation of MnTcMo2 at its PBEsol-relaxed geometry, from the Alexandria database.

Unit cell a=2.6315 b=4.2791 c=5.0686 alpha=90.00 beta=99.95 gamma=90.00
Space group P2/m (No. 10)
Symmetry-distinct sites (fractional):
Mn1 0.0000 0.0000 0.0000 x1
Tc1 0.5000 0.0000 0.5000 x1
Mo1 0.2572 0.5000 0.7543 x2

## Properties
- ΔE_f: 0.0172 eV per atom
- Energy above the most stable polymorph in this dataset: 0.00 eV/f.u.
- Theoretical density: 10.19 Mg/m³
- Raw total energy: -30.7542 eV per atom
- Total magnetization: 2.597 μB per cell
- Calculated volume: 56 Å³/cell


# 7
The following is a SCAN calculation of Ac3Dy at its PBEsol-relaxed geometry, from the Alexandria database.

Unit cell a=7.6621 b=7.6621 c=6.1304 alpha=90.00 beta=90.00 gamma=120.00
Space group P6_3/mmc (No. 194)
Symmetry-distinct sites (fractional):
Ac1 0.1694 0.3387 0.2500 x6
Dy1 0.3333 0.6667 0.7500 x2

## Properties
- ΔE_f: 0.0459 eV per atom
- Theoretical density: 8.99 Mg/m³
- Raw total energy: -79.7594 eV per atom
- Total magnetization: 0.000 μB per cell
- Calculated volume: 312 Å³/cell


# 8
The following is a SCAN calculation of ReAgRh2 at its PBEsol-relaxed geometry, from the Alexandria database.

Unit cell a=4.7509 b=2.6918 c=4.8323 alpha=90.00 beta=112.08 gamma=90.00
Space group P2/m (No. 10)
Symmetry-distinct sites (fractional):
Re1 0.0000 0.0000 0.0000 x1
Ag1 0.0000 0.5000 0.5000 x1
Rh1 0.5000 0.0000 0.5000 x1
Rh2 0.5000 0.5000 0.0000 x1

## Properties
- ΔE_f: 0.3753 eV per atom
- Energy above the most stable polymorph in this dataset: 0.40 eV/f.u.
- Theoretical density: 14.50 Mg/m³
- Raw total energy: -42.1266 eV per atom
- Total magnetization: 0.000 μB per cell
- Calculated volume: 57 Å³/cell


# 9
The following is a SCAN calculation of RbNb3P3O15 at its PBEsol-relaxed geometry, from the Alexandria database.

Unit cell a=6.5083 b=14.8920 c=14.9487 alpha=90.00 beta=115.40 gamma=90.00
Space group P2_1/c (No. 14)
Symmetry-distinct sites (fractional):
Rb1 0.0708 0.1812 0.0210 x4
Nb1 0.3055 0.7244 0.8083 x4
Nb2 0.3572 0.5250 0.3592 x4
Nb3 0.4357 0.1130 0.4376 x4
P1 0.1272 0.6199 0.1279 x4
P2 0.2069 0.5043 0.7078 x4
P3 0.2706 0.2026 0.7718 x4
O1 0.0162 0.2204 0.7019 x4
O2 0.0445 0.5197 0.3592 x4
O3 0.1290 0.1123 0.4408 x4
O4 0.1658 0.7159 0.1705 x4
O5 0.2028 0.5462 0.2060 x4
O6 0.2281 0.6048 0.7313 x4
O7 0.2567 0.6134 0.0626 x4
O8 0.2967 0.0541 0.3005 x4
O9 0.3090 0.1068 0.8126 x4
O10 0.3328 0.0191 0.1433 x4
O11 0.3534 0.2335 0.3607 x4
O12 0.3659 0.6532 0.3645 x4
O13 0.3962 0.2208 0.7057 x4
O14 0.4396 0.6750 0.9363 x4
O15 0.5000 0.0000 0.0000 x2
O16 0.5000 0.0000 0.5000 x2

## Properties
- E_form (uncorrected): -2.651 eV per atom
- Theoretical density: 3.54 Mg/m³
- Raw total energy: -13.7784 eV per atom
- Total magnetization: 4.075 μB per cell
- Calculated volume: 1309 Å³/cell


# 10
The following is a SCAN calculation of LaTeI3 at its PBEsol-relaxed geometry, from the Alexandria database.

Unit cell a=6.1704 b=6.1704 c=6.1704 alpha=90.00 beta=90.00 gamma=90.00
Space group Pm-3m (No. 221)
Symmetry-distinct sites (fractional):
La1 0.0000 0.0000 0.0000 x1
Te1 0.5000 0.5000 0.5000 x1
I1 0.0000 0.0000 0.5000 x3

## Properties
- E_form (uncorrected): -0.802 eV per atom
- Theoretical density: 4.57 Mg/m³
- Raw total energy: -38.9179 eV per atom
- Total magnetization: 2.000 μB per cell
- Calculated volume: 235 Å³/cell


# 11
The following is a SCAN calculation of LiLaY2 at its PBEsol-relaxed geometry, from the Alexandria database.

Unit cell a=3.6446 b=3.6446 c=8.6146 alpha=90.00 beta=90.00 gamma=90.00
Space group P4/mmm (No. 123)
Symmetry-distinct sites (fractional):
Li1 0.0000 0.0000 0.0000 x1
La1 0.0000 0.0000 0.5000 x1
Y1 0.5000 0.5000 0.2161 x2

## Properties
- ΔE_f: 0.0837 eV per atom
- Energy above the most stable polymorph in this dataset: 0.10 eV/f.u.
- Theoretical density: 4.70 Mg/m³
- Raw total energy: -25.2115 eV per atom
- Total magnetization: 0.334 μB per cell
- Calculated volume: 114 Å³/cell


# 12
The following is a SCAN calculation of AlTeRh2 at its PBEsol-relaxed geometry, from the Alexandria database.

Unit cell a=6.3681 b=6.3681 c=6.3681 alpha=90.00 beta=90.00 gamma=90.00
Space group F-43m (No. 216)
Symmetry-distinct sites (fractional):
Al1 0.0000 0.0000 0.0000 x4
Te1 0.2500 0.2500 0.7500 x4
Rh1 0.0000 0.0000 0.5000 x4
Rh2 0.2500 0.2500 0.2500 x4

## Properties
- Energy above the most stable polymorph in this dataset: 2.20 eV/f.u.
- E_form (uncorrected): 0.029 eV per atom
- Theoretical density: 9.27 Mg/m³
- Raw total energy: -28.1075 eV per atom
- Total magnetization: 0.000 μB per cell
- Calculated volume: 258 Å³/cell